(i)
A relaxed structure of LaCrCu3. Source: Alexandria via LeMat-Bulk, functional PBE.

symmetry = Pm-3m
total magnetic moment = 4.76 μB per cell
crystal system = cubic

a b c (Å): 5.144 5.144 5.144
angles (deg): 90.00 90.00 90.00
Element x y z (fractional)
La (0.000, 0.000, 0.000)
Cu (0.000, 0.500, 0.000)
Cu (0.500, 0.000, 0.000)
Cu (0.000, 0.000, 0.500)
Cr (0.500, 0.500, 0.500)



(ii)
A relaxed structure of LaCrCu3. Source: Alexandria via LeMat-Bulk, functional PBE.

symmetry = Pm-3m
total magnetic moment = 3.60 μB per cell
crystal system = cubic

a b c (Å): 4.669 4.669 4.669
angles (deg): 90.00 90.00 90.00
Element x y z (fractional)
La (0.500, 0.500, 0.500)
Cu (0.000, 0.500, 0.000)
Cu (0.000, 0.000, 0.500)
Cr (0.000, 0.000, 0.000)
Cu (0.500, 0.000, 0.000)



Which one sits at the bottom of the stability order? (i) does.



(i)
A relaxed structure of LiCr2Cu. Source: Alexandria via LeMat-Bulk, functional PBE.

symmetry = Pm
total magnetic moment = 0.00 μB per cell
crystal system = monoclinic

a b c (Å): 3.962 2.351 5.126
angles (deg): 81.65 90.00 90.00
Element x y z (fractional)
Cr (0.000, 0.987, 0.016)
Cu (0.000, 0.529, 0.511)
Li (0.500, 0.777, 0.741)
Cr (0.500, 0.207, 0.232)



(ii)
A relaxed structure of LiCr2Cu. Source: Alexandria via LeMat-Bulk, functional PBE.

symmetry = P4/mmm
total magnetic moment = 0.00 μB per cell
crystal system = tetragonal

a b c (Å): 2.359 2.359 8.726
angles (deg): 90.00 90.00 90.00
Element x y z (fractional)
Li (0.500, 0.500, 0.750)
Cr (0.000, 0.000, 0.013)
Cr (0.000, 0.000, 0.487)
Cu (0.500, 0.500, 0.250)



(iii)
A relaxed structure of LiCr2Cu. Source: Alexandria via LeMat-Bulk, functional PBE.

symmetry = Pmmm
total magnetic moment = 0.00 μB per cell
crystal system = orthorhombic

a b c (Å): 2.341 4.302 4.679
angles (deg): 90.00 90.00 90.00
Element x y z (fractional)
Cr (0.000, 0.000, 0.494)
Cr (0.000, 0.000, 0.006)
Cu (0.500, 0.500, 0.250)
Li (0.500, 0.500, 0.750)



Which one sits at the bottom of the stability order? (ii) does.



(i)
A relaxed structure of LiCr2Cu. Source: Alexandria via LeMat-Bulk, functional PBE.

symmetry = Pmm2
total magnetic moment = 0.00 μB per cell
crystal system = orthorhombic

a b c (Å): 2.323 3.913 5.283
angles (deg): 90.00 90.00 90.00
Element x y z (fractional)
Cr (0.000, 0.000, 0.018)
Cu (0.000, 0.000, 0.511)
Cr (0.500, 0.500, 0.235)
Li (0.500, 0.500, 0.735)



(ii)
A relaxed structure of LiCr2Cu. Source: Alexandria via LeMat-Bulk, functional PBE.

symmetry = Pmmm
total magnetic moment = 0.02 μB per cell
crystal system = orthorhombic

a b c (Å): 3.223 3.700 4.240
angles (deg): 90.00 90.00 90.00
Element x y z (fractional)
Cr (0.500, 0.500, 0.000)
Cr (0.000, 0.000, 0.000)
Cu (0.500, 0.000, 0.500)
Li (0.000, 0.500, 0.500)



(iii)
A relaxed structure of LiCr2Cu. Source: Alexandria via LeMat-Bulk, functional PBE.

symmetry = Fm-3m
total magnetic moment = 7.93 μB per cell
crystal system = cubic

a b c (Å): 4.334 4.334 4.334
angles (deg): 60.00 60.00 60.00
Element x y z (fractional)
Cr (0.250, 0.250, 0.250)
Cr (0.750, 0.750, 0.750)
Cu (0.500, 0.500, 0.500)
Li (0.000, 0.000, 0.000)



(iv)
A relaxed structure of LiCr2Cu. Source: Alexandria via LeMat-Bulk, functional PBE.

symmetry = I-42d
total magnetic moment = 0.00 μB per cell
crystal system = tetragonal

a b c (Å): 6.674 6.674 5.225
angles (deg): 50.31 50.31 90.00
Element x y z (fractional)
Li (0.250, 0.750, 0.500)
Cr (0.375, 0.371, 0.750)
Cu (0.000, 0.000, 0.000)
Cu (0.750, 0.250, 0.500)
Cr (0.121, 0.625, 0.250)
Cr (0.875, 0.879, 0.750)
Cr (0.629, 0.125, 0.250)
Li (0.500, 0.500, 0.000)



Which one sits at the bottom of the stability order? (iv) does.



(i)
A relaxed structure of LiCr2Cu2. Source: Alexandria via LeMat-Bulk, functional PBE.

symmetry = P4/mbm
total magnetic moment = 0.00 μB per cell
crystal system = tetragonal

a b c (Å): 7.449 7.449 2.420
angles (deg): 90.00 90.00 90.00
Element x y z (fractional)
Cr (0.601, 0.899, 0.500)
Cu (0.310, 0.810, 0.000)
Cr (0.101, 0.601, 0.500)
Cu (0.690, 0.190, 0.000)
Li (0.500, 0.500, 0.000)
Cr (0.399, 0.101, 0.500)
Cu (0.190, 0.310, 0.000)
Cr (0.899, 0.399, 0.500)
Cu (0.810, 0.690, 0.000)
Li (0.000, 0.000, 0.000)



(ii)
A relaxed structure of LiCr2Cu2. Source: Alexandria via LeMat-Bulk, functional PBE.

symmetry = P4/mbm
total magnetic moment = 0.00 μB per cell
crystal system = tetragonal

a b c (Å): 7.422 7.422 2.433
angles (deg): 90.00 90.00 90.00
Element x y z (fractional)
Cu (0.808, 0.308, 0.500)
Cu (0.692, 0.808, 0.500)
Cr (0.900, 0.600, 0.000)
Cr (0.600, 0.100, 0.000)
Cu (0.308, 0.192, 0.500)
Cu (0.192, 0.692, 0.500)
Cr (0.400, 0.900, 0.000)
Cr (0.100, 0.400, 0.000)
Li (0.500, 0.500, 0.000)
Li (0.000, 0.000, 0.000)



Which one sits at the bottom of the stability order? (i) does.